Computed, not measured: a relaxed structure of In2CuIr at the PBE level of DFT.

Lattice parameters (Å, degrees): 4.7641 4.7641 3.0805 89.98 89.98 98.10
With the nearest neighbours (Å) after each atom.
Positions (direct):
Cu 0.0000 0.5000 0.5000  8 In 2.84, 2 Cu 3.08, 2 Ir 3.12
In 0.0000 0.0000 0.0000  4 Ir 2.84, 4 Cu 2.84, 4 In 3.08-3.12
In 0.5000 0.5000 0.0000  4 Cu 2.84, 4 Ir 2.84, 4 In 3.08-3.12
Ir 0.5000 0.0000 0.5000  8 In 2.84, 2 Ir 3.08, 2 Cu 3.12

Output
- ΔH_f (0 K) (kJ/mol of atoms) = 4.1
- symmetry = No. 65
- volume (A^3/atom) = 17.3


Computed, not measured: a relaxed structure of Sm2MnAs4Pt3 at the PBE level of DFT.

Lattice parameters (Å, degrees): 4.1580 4.1580 10.8668 90.00 90.00 90.00
With the nearest neighbours (Å) after each atom.
Positions (direct):
Sm 0.5000 0.0000 0.2646  8 As 3.17-3.55, 6 Pt 3.20-3.30, 2 Mn 3.30
Sm 0.0000 0.5000 0.7354  8 As 3.17-3.55, 6 Pt 3.20-3.30, 2 Mn 3.30
Mn 0.5000 0.5000 0.5000  4 As 2.49
As 0.5000 0.5000 0.0000  4 Pt 2.63, 4 As 2.94
As 0.0000 0.0000 0.0000  4 Pt 2.63, 4 As 2.94
As 0.5000 0.0000 0.6265  3 Pt 2.46-2.49, 2 Mn 2.49
As 0.0000 0.5000 0.3735  3 Pt 2.46-2.49, 2 Mn 2.49
Pt 0.0000 0.0000 0.5000  4 As 2.49
Pt 0.5000 0.0000 0.8524  5 As 2.46-2.63
Pt 0.0000 0.5000 0.1476  5 As 2.46-2.63

Output
- ΔH_f (0 K) (kJ/mol of atoms) = -72.6
- symmetry = No. 115
- volume (A^3/atom) = 18.8


Computed, not measured: a relaxed structure of AcPr2Co at the PBE level of DFT.

Lattice parameters (Å, degrees): 3.8922 3.8922 11.0099 79.82 79.82 60.00
With the nearest neighbours (Å) after each atom.
Positions (direct):
Pr 0.1178 0.1178 0.6465  3 Co 2.75
Pr 0.8822 0.8822 0.3535  3 Co 2.75
Ac 0.0000 0.0000 0.0000  2 Pr 3.81, 6 Ac 3.89
Co 0.5000 0.5000 0.5000  6 Pr 2.75

Output
- ΔH_f (0 K) (kJ/mol of atoms) = 15.7
- symmetry = No. 166
- volume (A^3/atom) = 35.4


Computed, not measured: a relaxed structure of Pm5InPd2 at the PBE level of DFT.

Lattice parameters (Å, degrees): 8.0835 8.0835 8.9181 116.95 116.95 90.00
With the nearest neighbours (Å) after each atom.
Positions (direct):
Pm 0.5177 0.6998 0.7174  3 Pd 3.05-3.08, 2 In 3.39
Pm 0.8002 0.9823 0.2826  3 Pd 3.05-3.08, 2 In 3.39
Pm 0.0000 0.0000 0.0000  4 Pd 3.16, 2 In 3.42
Pm 0.5000 0.5000 0.0000  4 Pd 3.16, 2 In 3.42
Pm 0.1998 0.0177 0.7174  3 Pd 3.05-3.08, 2 In 3.39
Pm 0.6998 0.1998 0.7174  3 Pd 3.05-3.08, 2 In 3.39
Pm 0.0177 0.5177 0.7174  3 Pd 3.05-3.08, 2 In 3.39
Pm 0.3002 0.8002 0.2826  3 Pd 3.05-3.08, 2 In 3.39
Pm 0.9823 0.4823 0.2826  3 Pd 3.05-3.08, 2 In 3.39
Pm 0.4823 0.3002 0.2826  3 Pd 3.05-3.08, 2 In 3.39
In 0.7500 0.7500 0.5000  10 Pm 3.39-3.42
In 0.2500 0.2500 0.5000  10 Pm 3.39-3.42
Pd 0.1317 0.3683 0.0000  1 Pd 3.01, 8 Pm 3.05-3.16
Pd 0.6317 0.1317 0.0000  1 Pd 3.01, 8 Pm 3.05-3.16
Pd 0.3683 0.8683 0.0000  1 Pd 3.01, 8 Pm 3.05-3.16
Pd 0.8683 0.6317 0.0000  1 Pd 3.01, 8 Pm 3.05-3.16

Output
- ΔH_f (0 K) (kJ/mol of atoms) = -51.4
- symmetry = No. 140
- volume (A^3/atom) = 28.0


Computed, not measured: a relaxed structure of BiTeIr2Br at the PBE level of DFT.

Lattice parameters (Å, degrees): 5.0958 5.5077 5.0958 90.00 90.00 90.00
With the nearest neighbours (Å) after each atom.
Positions (direct):
Ir 0.0000 0.0000 0.5000  2 Bi 2.55
Ir 0.5000 0.0000 0.0000  2 Bi 2.55
Te 0.5000 0.5000 0.5000  4 Br 3.60, 8 Ir 3.75
Bi 0.0000 0.0000 0.0000  4 Ir 2.55, 2 Br 2.75
Br 0.0000 0.5000 0.0000  2 Bi 2.75

Output
- symmetry = No. 123
- final energy (eV for the cell shown) = -18.7
- volume (A^3/atom) = 28.6


Computed, not measured: a relaxed structure of NaTbAgBi at the PBE level of DFT.

Lattice parameters (Å, degrees): 5.2933 5.2933 5.2933 60.00 60.00 60.00
With the nearest neighbours (Å) after each atom.
Positions (direct):
Na 0.2500 0.2500 0.2500  4 Bi 3.24, 4 Ag 3.24
Tb 0.7500 0.7500 0.7500  4 Ag 3.24, 4 Bi 3.24
Bi 0.0000 0.0000 0.0000  4 Na 3.24, 4 Tb 3.24
Ag 0.5000 0.5000 0.5000  4 Tb 3.24, 4 Na 3.24

Output
- ΔH_f (0 K) (kJ/mol of atoms) = -35.2
- symmetry = No. 216
- volume (A^3/atom) = 26.2


Computed, not measured: a relaxed structure of Ca2PtPb at the PBE level of DFT.

Lattice parameters (Å, degrees): 9.0524 9.0524 9.0524 24.99 24.99 24.99
With the nearest neighbours (Å) after each atom.
Positions (direct):
Pb 0.2500 0.2500 0.2500  6 Ca 3.47
Ca 0.0169 0.0169 0.0169  3 Pt 2.86
Ca 0.4831 0.4831 0.4831  3 Pt 2.86
Pt 0.7500 0.7500 0.7500  6 Ca 2.86

Output
- ΔH_f (0 K) (kJ/mol of atoms) = -57.4
- symmetry = No. 166
- volume (A^3/atom) = 29.1


Computed, not measured: a relaxed structure of Ce4C2I5 at the PBE level of DFT.

Lattice parameters (Å, degrees): 4.0411 8.8334 10.1631 102.64 101.47 90.00
With the nearest neighbours (Å) after each atom.
Positions (direct):
Ce 0.6538 0.5808 0.3076  1 C 2.28
Ce 0.9992 0.6841 0.9984  4 C 2.69
Ce 0.3462 0.4192 0.6924  1 C 2.28
Ce 0.0008 0.3159 0.0016  4 C 2.69
C 0.5361 0.5186 0.0722  1 C 1.40
C 0.4639 0.4814 0.9278  1 C 1.40
I 0.1616 0.8577 0.3232  3 Ce 3.15-3.26
I 0.8384 0.1423 0.6768  3 Ce 3.15-3.26
I 0.1676 0.3088 0.3351  4 Ce 3.20-3.47
I 0.5000 0.0000 0.0000  4 Ce 3.44
I 0.8324 0.6912 0.6649  4 Ce 3.20-3.47

Output
- symmetry = No. 12
- final energy (eV for the cell shown) = -61.2
- volume (A^3/atom) = 31.5


Computed, not measured: a relaxed structure of Sc5PSe4 at the PBE level of DFT.

Lattice parameters (Å, degrees): 3.8379 5.4202 10.2473 105.34 100.79 90.00
With the nearest neighbours (Å) after each atom.
Positions (direct):
Sc 0.5902 0.0902 0.1804  2 P 2.60, 4 Se 2.72-2.82
Sc 0.7978 0.2978 0.5956  6 Se 2.71-2.74
Sc 0.2022 0.7022 0.4044  6 Se 2.71-2.74
Sc 0.0000 0.5000 0.0000  2 P 2.71, 4 Se 2.75
Sc 0.4098 0.9098 0.8196  2 P 2.60, 4 Se 2.72-2.82
P 0.0000 0.0000 0.0000  6 Sc 2.60-2.71
Se 0.3987 0.3987 0.7975  6 Sc 2.72-2.75
Se 0.8031 0.8031 0.6062  6 Sc 2.71-2.82
Se 0.1969 0.1969 0.3938  6 Sc 2.71-2.82
Se 0.6013 0.6013 0.2025  6 Sc 2.72-2.75

Output
- symmetry = No. 71
- final energy (eV for the cell shown) = -67.1
- volume (A^3/atom) = 20.2


Computed, not measured: a relaxed structure of Mn2AsPtN at the PBE level of DFT.

Lattice parameters (Å, degrees): 4.7290 3.6901 4.7290 90.00 90.00 90.00
With the nearest neighbours (Å) after each atom.
Positions (direct):
As 0.0000 0.0000 0.0000  2 N 1.85
Mn 0.0000 0.0000 0.5000  2 As 2.36
Mn 0.5000 0.0000 0.0000  2 As 2.36
Pt 0.5000 0.5000 0.5000  8 Mn 3.00, 4 N 3.34
N 0.0000 0.5000 0.0000  2 As 1.85

Output
- symmetry = No. 123
- final energy (eV for the cell shown) = -32.5
- volume (A^3/atom) = 16.5


Computed, not measured: a relaxed structure of UPaNbSn at the PBE level of DFT.

Lattice parameters (Å, degrees): 5.1316 5.1316 5.1316 60.00 60.00 60.00
With the nearest neighbours (Å) after each atom.
Positions (direct):
Nb 0.2500 0.2500 0.2500  4 U 3.14, 4 Pa 3.14
Pa 0.0000 0.0000 0.0000  4 Sn 3.14, 4 Nb 3.14
U 0.5000 0.5000 0.5000  4 Nb 3.14, 4 Sn 3.14
Sn 0.7500 0.7500 0.7500  4 Pa 3.14, 4 U 3.14

Output
- ΔH_f (0 K) (kJ/mol of atoms) = 32.1
- symmetry = No. 216
- volume (A^3/atom) = 23.9


Computed, not measured: a relaxed structure of CoSiOs2 at the PBE level of DFT.

Lattice parameters (Å, degrees): 2.6964 2.6964 8.2956 90.00 90.00 118.03
With the nearest neighbours (Å) after each atom.
Positions (direct):
Co 0.5000 0.5000 0.7262  2 Si 2.25
Os 0.0000 0.0000 0.9883  2 Co 2.58, 8 Os 2.70-2.78
Os 0.5000 0.5000 0.2728  2 Si 2.43, 4 Os 2.70
Si 0.0000 0.0000 0.5128  2 Co 2.25, 2 Os 2.43

Output
- symmetry = No. 35
- final energy (eV for the cell shown) = -33.7
- volume (A^3/atom) = 13.3


Computed, not measured: a relaxed structure of SmSCl at the PBE level of DFT.

Lattice parameters (Å, degrees): 3.5415 3.5415 7.0266 104.60 104.60 90.00
With the nearest neighbours (Å) after each atom.
Positions (direct):
S 0.0542 0.0542 0.1084  4 Sm 2.82, 1 Cl 3.13
Sm 0.6528 0.6528 0.3057  4 S 2.82, 4 Cl 3.11
Cl 0.2930 0.2930 0.5859  4 Sm 3.11, 1 S 3.13

Output
- symmetry = No. 107
- final energy (eV for the cell shown) = -16.1
- volume (A^3/atom) = 27.4